Entry 1:
A plane-wave DFT calculation with PBE-GGA was carried out for a relaxed Ta2Te4Cl crystal.

a b c (Å): 7.5456 7.5571 10.3357
angles (deg): 80.73 70.28 61.63
Element x y z (fractional)
Ta 0.0000 0.0000 0.0000
Ta 0.1273 0.7377 0.2822
Ta 0.5659 0.3533 0.3043
Ta 0.7276 0.7756 0.2753
Te 0.0411 0.1534 0.1932
Te 0.1026 0.6004 0.0549
Te 0.1739 0.3973 0.4402
Te 0.2945 0.8654 0.4462
Te 0.5590 0.6358 0.1097
Te 0.5695 0.1069 0.1164
Te 0.6362 0.5121 0.4974
Te 0.7348 0.9773 0.4693
Cl 0.3337 0.8932 0.8353
Cl 0.8733 0.2356 0.8336

***

Entry 2:
A plane-wave DFT calculation with PBE-GGA was carried out for a relaxed TaTeCl2 crystal.

a b c (Å): 4.2382 4.2382 4.8134
angles (deg): 90.00 90.00 90.00
Element x y z (fractional)
Ta 0.0000 0.0000 0.0000
Te 0.5000 0.5000 0.0000
Cl 0.0000 0.5000 0.5000
Cl 0.5000 0.0000 0.5000

Summary:
relative energy among the computed polymorphs = 1299.2 meV per atom

***

Entry 3:
A plane-wave DFT calculation with PBE-GGA was carried out for a relaxed Ta2TeCl crystal.

a b c (Å): 3.0120 4.6390 5.8124
angles (deg): 90.00 90.00 90.00
Element x y z (fractional)
Ta 0.0000 0.0000 0.0000
Ta 0.5000 0.0000 0.5000
Te 0.0000 0.5000 0.5000
Cl 0.5000 0.5000 0.0000

Summary:
relative energy among the computed polymorphs = 683.7 meV per atom

***

Number 1: uncorrected formation energy -0.38 eV per atom, size of the total moment 0.00 μB per atom, calculated density 6.18 g cm⁻³. Number 2: uncorrected formation energy 0.58 eV per atom, size of the total moment 0.32 μB per atom, calculated density 7.29 g cm⁻³. Number 3: uncorrected formation energy 0.53 eV per atom, size of the total moment 0.00 μB per atom, calculated density 10.73 g cm⁻³.